Below is crystalline Rb2PmWO6 at its relaxed geometry, with properties calculated at the PBE with a Hubbard U level.

Cell lengths 6.3764, 6.3764, 30.9184 Å; angles 90.00, 90.00, 120.00 degrees
Space group R-3m (No. 166, hexagonal axes)
Symmetry-distinct sites (fractional):
1 Rb 0.0000 0.0000 0.1331 x6
2 Rb 0.0000 0.0000 0.2697 x6
3 Pm 0.0000 0.0000 0.3995 x6
4 W 0.0000 0.0000 0.0000 x3
5 W 0.0000 0.0000 0.5000 x3
6 O 0.0431 0.5215 0.7029 x18
7 O 0.0543 0.5272 0.1278 x18

Calculated values
Electronic total energy: -390.8 eV/cell